Entry 1:
Below is a relaxed Cu3SeI2 crystal, with properties calculated at the PBE-GGA level.

Lattice parameters (Å, degrees): 4.0567 4.0677 18.7380 90.00 90.00 90.00
Last column: nearest neighbours and their distance in Å.
Fractional coordinates of all 12 atoms:
I 0.5000 0.0000 0.9456  2 Cu 2.55
I 0.5000 0.0000 0.6198  4 Cu 2.67-2.74
I 0.0000 0.5000 0.1198  4 Cu 2.67-2.74
I 0.0000 0.5000 0.4456  2 Cu 2.55
Cu 0.0000 0.0000 0.8635  2 Se 2.46, 2 I 2.55
Cu 0.0000 0.0000 0.2176  2 Se 2.43
Cu 0.5000 0.5000 0.7176  2 Se 2.43
Cu 0.5000 0.5000 0.3635  2 Se 2.46, 2 I 2.55
Cu 0.5000 0.5000 0.2128  2 Se 2.49, 2 I 2.67
Cu 0.0000 0.0000 0.7128  2 Se 2.49, 2 I 2.67
Se 0.5000 0.0000 0.2895  6 Cu 2.43-2.49
Se 0.0000 0.5000 0.7895  6 Cu 2.43-2.49

Properties
Space group = No. 44
Distance to the lowest polymorph of the same formula = 0.0 meV/atom

=====

Entry 2:
Below is a relaxed RbTh2TeO8 crystal, with properties calculated at the PBE-GGA level.

Lattice parameters (Å, degrees): 5.5569 5.0052 7.4224 71.56 95.63 101.59
Last column: nearest neighbours and their distance in Å.
Fractional coordinates of all 12 atoms:
O 0.9431 0.2974 0.7681  1 Te 1.93
O 0.2660 0.9156 0.8877  1 Te 1.94
O 0.0569 0.7026 0.2319  1 Te 1.93
O 0.5015 0.2751 0.4932  2 Th 2.29-2.34, 1 O 2.29
O 0.7340 0.0844 0.1123  1 Te 1.94
O 0.2694 0.2779 0.0756  1 Te 2.00
O 0.7306 0.7221 0.9244  1 Te 2.00
O 0.4985 0.7249 0.5068  2 Th 2.29-2.34, 1 O 2.29
Th 0.4549 0.6300 0.2155  5 O 2.29-2.42
Th 0.5451 0.3700 0.7845  5 O 2.29-2.42
Rb 0.0000 0.0000 0.5000  6 O 2.85-3.05
Te 0.0000 0.0000 0.0000  6 O 1.93-2.00

Properties
Space group = No. 2
DFT total energy = -7.20 eV/atom

=====

Entry 3:
Below is a relaxed Na2AcErTe4 crystal, with properties calculated at the PBE-GGA level.

Lattice parameters (Å, degrees): 4.5874 7.9672 8.0237 109.30 90.00 90.00
Last column: nearest neighbours and their distance in Å.
Fractional coordinates of all 8 atoms:
Ac 0.0000 0.0000 0.0000  6 Te 3.30
Te 0.5000 0.2673 0.2438  1 Er 3.11, 3 Na 3.23-3.41, 2 Ac 3.30
Te 0.0000 0.7275 0.2336  2 Er 3.13, 3 Na 3.23-3.39, 1 Ac 3.30
Te 0.0000 0.2725 0.7664  2 Er 3.13, 3 Na 3.23-3.39, 1 Ac 3.30
Te 0.5000 0.7327 0.7562  1 Er 3.11, 3 Na 3.23-3.41, 2 Ac 3.30
Er 0.5000 0.5000 0.0000  6 Te 3.11-3.13
Na 0.5000 0.0000 0.5000  6 Te 3.39-3.41
Na 0.0000 0.5000 0.5000  6 Te 3.23

Properties
Space group = No. 10
DFT total energy = -4.31 eV/atom

=====

Entry 4:
Below is a relaxed PmBrClO4 crystal, with properties calculated at the PBE-GGA level.

Lattice parameters (Å, degrees): 6.4583 6.4583 6.9282 77.91 77.91 71.26
Last column: nearest neighbours and their distance in Å.
Fractional coordinates of all 14 atoms:
O 0.4811 0.1188 0.1217  1 Br 1.92
O 0.8812 0.5189 0.8783  1 Br 1.92
O 0.2856 0.2856 0.5156  1 Br 1.69
O 0.1188 0.4811 0.1217  1 Br 1.92
O 0.5252 0.5252 0.2467  1 Br 1.68
O 0.4748 0.4748 0.7533  1 Br 1.68
O 0.5189 0.8812 0.8783  1 Br 1.92
O 0.7144 0.7144 0.4844  1 Br 1.69
Cl 0.9898 0.9898 0.7626  2 Pm 2.75-2.79
Cl 0.0102 0.0102 0.2374  2 Pm 2.75-2.79
Br 0.6380 0.6380 0.7302  2 O 1.68-1.69
Br 0.3620 0.3620 0.2698  2 O 1.68-1.69
Pm 0.2166 0.2166 0.8909  6 O 2.41-2.63
Pm 0.7834 0.7834 0.1091  6 O 2.41-2.63

Properties
Space group = No. 12
DFT total energy = -4.98 eV/atom

=====

Entry 5:
Below is a relaxed KAl crystal, with properties calculated at the PBE-GGA level.

Lattice parameters (Å, degrees): 6.7506 6.7506 8.0080 73.19 73.19 38.16
Last column: nearest neighbours and their distance in Å.
Fractional coordinates of all 6 atoms:
K 0.6722 0.6722 0.0508  6 Al 3.41-3.79, 1 K 3.60
K 0.0145 0.0145 0.4684  1 K 3.38, 2 Al 3.60
K 0.7366 0.7366 0.5810  2 K 3.38-3.60, 2 Al 3.68
Al 0.4330 0.4330 0.8407  3 Al 2.66-2.79
Al 0.9451 0.9451 0.0194  4 Al 2.66-2.69
Al 0.3652 0.3652 0.2064  3 Al 2.69-2.79

Properties
Space group = No. 8
E_form = 194 meV per atom
Distance to the lowest polymorph of the same formula = 77.2 meV/atom

=====

Entry 6:
Below is a relaxed CeTh4Hg crystal, with properties calculated at the PBE-GGA level.

Lattice parameters (Å, degrees): 6.5868 6.5847 10.3009 99.79 99.80 117.89
Last column: nearest neighbours and their distance in Å.
Fractional coordinates of all 12 atoms:
Th 0.2802 0.5415 0.5631  2 Hg 3.30-3.50, 7 Th 3.34-3.63, 2 Ce 3.41-3.47
Th 0.5416 0.2803 0.0633  2 Hg 3.30-3.50, 7 Th 3.34-3.63, 2 Ce 3.41-3.47
Th 0.7198 0.4585 0.4369  2 Hg 3.30-3.50, 7 Th 3.34-3.63, 2 Ce 3.41-3.47
Th 0.2171 0.9785 0.4369  2 Hg 3.30-3.50, 7 Th 3.34-3.63, 2 Ce 3.41-3.47
Th 0.4584 0.7197 0.9367  2 Hg 3.30-3.50, 7 Th 3.34-3.63, 2 Ce 3.41-3.47
Th 0.7829 0.0215 0.5631  2 Hg 3.30-3.50, 7 Th 3.34-3.63, 2 Ce 3.41-3.47
Th 0.0217 0.7830 0.0633  2 Hg 3.30-3.50, 7 Th 3.34-3.63, 2 Ce 3.41-3.47
Th 0.9783 0.2170 0.9367  2 Hg 3.30-3.50, 7 Th 3.34-3.63, 2 Ce 3.41-3.47
Ce 0.6251 0.3751 0.7502  2 Hg 3.40, 8 Th 3.41-3.47
Ce 0.3749 0.6249 0.2498  2 Hg 3.40, 8 Th 3.41-3.47
Hg 0.8750 0.1250 0.2500  8 Th 3.30-3.50, 2 Ce 3.40
Hg 0.1250 0.8750 0.7500  8 Th 3.30-3.50, 2 Ce 3.40

Properties
Space group = No. 70
E_form = 111 meV per atom
Distance to the lowest polymorph of the same formula = 167.9 meV/atom

=====

Entry 7:
Below is a relaxed KAl2As2 crystal, with properties calculated at the PBE-GGA level.

Lattice parameters (Å, degrees): 8.0222 8.0222 3.5037 90.00 90.00 90.00
Last column: nearest neighbours and their distance in Å.
Fractional coordinates of all 10 atoms:
As 0.6435 0.1435 0.0000  4 Al 2.77, 2 K 3.08
As 0.3565 0.8565 0.0000  4 Al 2.77, 2 K 3.08
As 0.8565 0.6435 0.0000  4 Al 2.77, 2 K 3.08
As 0.1435 0.3565 0.0000  4 Al 2.77, 2 K 3.08
Al 0.3768 0.1232 0.5000  4 As 2.77, 1 Al 2.80
Al 0.1232 0.6232 0.5000  4 As 2.77, 1 Al 2.80
Al 0.6232 0.8768 0.5000  4 As 2.77, 1 Al 2.80
Al 0.8768 0.3768 0.5000  4 As 2.77, 1 Al 2.80
K 0.5000 0.5000 0.0000  4 As 3.08
K 0.0000 0.0000 0.0000  4 As 3.08

Properties
Space group = No. 127
E_form = -15 meV per atom

=====

Entry 8:
Below is a relaxed RbZn2RhCl crystal, with properties calculated at the PBE-GGA level.

Lattice parameters (Å, degrees): 6.0229 4.4539 6.0229 90.00 90.00 90.00
Last column: nearest neighbours and their distance in Å.
Fractional coordinates of all 5 atoms:
Zn 0.5000 0.0000 0.0000  2 Cl 3.01
Zn 0.0000 0.0000 0.5000  2 Cl 3.01
Rh 0.0000 0.5000 0.0000  2 Cl 2.23
Cl 0.0000 0.0000 0.0000  2 Rh 2.23
Rb 0.5000 0.5000 0.5000  8 Zn 3.75

Properties
Space group = No. 123
DFT total energy = -2.15 eV/atom